Here is BaLa2TiS after structural relaxation from the Alexandria database. Energies are from GGA-PBEsol.

Values from the calculation:
formation energy (no corrections): 0.22 eV/atom
SG: P4/mmm, No. 123
ρ: 5214 kg/m3
total moment: 0.00 μB/f.u.

Cell lengths 5.211, 5.211, 5.806 Å; angles 90.00, 90.00, 90.00 degrees
Element x y z (fractional)
La 0.500 0.000 0.000
La 0.000 0.500 0.000
S 0.500 0.500 0.500
Ba 0.000 0.000 0.500
Ti 0.000 0.000 0.000